(1)
VASP calculation (GGA-PBE) on crystalline KHo2MnTe4 at its relaxed geometry.

Unit cell a=4.3796 b=7.8506 c=15.4509 alpha=90.00 beta=90.00 gamma=106.20
Closest atoms and distances in Å follow each position.
Fractional coordinates of all 16 atoms:
1 K 0.1158 0.2317 0.7500  6 Te 3.43-3.54
2 K 0.8842 0.7683 0.2500  6 Te 3.43-3.54
3 Ho 0.3686 0.7371 0.5639  6 Te 3.08-3.11
4 Ho 0.6314 0.2629 0.0639  6 Te 3.08-3.11
5 Ho 0.6314 0.2629 0.4361  6 Te 3.08-3.11
6 Ho 0.3686 0.7371 0.9361  6 Te 3.08-3.11
7 Mn 0.8365 0.6730 0.7500  4 Te 2.67-2.70
8 Mn 0.1635 0.3270 0.2500  4 Te 2.67-2.70
9 Te 0.2677 0.5354 0.1104  1 Mn 2.67
10 Te 0.7323 0.4646 0.6104  1 Mn 2.67
11 Te 0.7323 0.4646 0.8896  1 Mn 2.67
12 Te 0.2677 0.5354 0.3896  1 Mn 2.67
13 Te 0.0000 0.0000 0.5000  4 Ho 3.11
14 Te 0.0000 0.0000 0.0000  4 Ho 3.11
15 Te 0.4409 0.8819 0.7500  2 Mn 2.70
16 Te 0.5591 0.1181 0.2500  2 Mn 2.70

Properties
ΔE_f (raw) ... -1.052 eV per atom
DFT total energy ... -40.4 eV per formula unit
Size of the total moment ... 4.116 μB per formula unit

=====

(2)
VASP calculation (GGA-PBE) on crystalline CuSiMo2 at its relaxed geometry.

Unit cell a=4.5426 b=4.5426 c=2.7132 alpha=90.00 beta=90.00 gamma=90.00
Closest atoms and distances in Å follow each position.
Fractional coordinates of all 4 atoms:
1 Cu 0.0000 0.5000 0.5000  8 Mo 2.65, 2 Cu 2.71
2 Mo 0.0000 0.0000 0.0000  4 Cu 2.65, 4 Si 2.65, 2 Mo 2.71
3 Mo 0.5000 0.5000 0.0000  4 Cu 2.65, 4 Si 2.65, 2 Mo 2.71
4 Si 0.5000 0.0000 0.5000  8 Mo 2.65, 2 Si 2.71

Properties
ΔE_f (raw) ... 0.036 eV per atom
DFT total energy ... -31.0 eV per formula unit
Size of the total moment ... 0.000 μB per formula unit

=====

(3)
VASP calculation (GGA-PBE) on crystalline Al2CdHg at its relaxed geometry.

Unit cell a=5.1942 b=3.0409 c=5.4470 alpha=100.86 beta=90.00 gamma=90.00
Closest atoms and distances in Å follow each position.
Fractional coordinates of all 4 atoms:
1 Al 0.0000 0.9055 0.0229  5 Al 2.81-3.04, 2 Cd 2.98, 2 Hg 2.99
2 Al 0.0000 0.5945 0.4771  5 Al 2.81-3.04, 2 Cd 2.98, 2 Hg 2.99
3 Hg 0.5000 0.7500 0.7500  2 Cd 2.86, 4 Al 2.99, 2 Hg 3.04
4 Cd 0.5000 0.2500 0.2500  2 Hg 2.86, 4 Al 2.98, 2 Cd 3.04

Properties
DFT total energy ... -8.0 eV per formula unit
Distance to the lowest polymorph of the same formula ... 59.5 meV per atom
Size of the total moment ... 0.000 μB per formula unit

=====

(4)
VASP calculation (GGA-PBE) on crystalline Tl2WS2 at its relaxed geometry.

Unit cell a=7.5671 b=7.5671 c=3.9177 alpha=90.00 beta=90.00 gamma=90.00
Closest atoms and distances in Å follow each position.
Fractional coordinates of all 10 atoms:
1 Tl 0.3613 0.8613 0.0000  2 S 2.74, 2 W 2.93, 1 Tl 2.97
2 Tl 0.8613 0.6387 0.0000  2 S 2.74, 2 W 2.93, 1 Tl 2.97
3 Tl 0.6387 0.1387 0.0000  2 S 2.74, 2 W 2.93, 1 Tl 2.97
4 Tl 0.1387 0.3613 0.0000  2 S 2.74, 2 W 2.93, 1 Tl 2.97
5 S 0.1823 0.6823 0.5000  2 Tl 2.74
6 S 0.6823 0.8177 0.5000  2 Tl 2.74
7 S 0.8177 0.3177 0.5000  2 Tl 2.74
8 S 0.3177 0.1823 0.5000  2 Tl 2.74
9 W 0.0000 0.0000 0.0000  4 Tl 2.93
10 W 0.5000 0.5000 0.0000  4 Tl 2.93

Properties
ΔE_f (raw) ... 1.100 eV per atom
DFT total energy ... -20.4 eV per formula unit
Distance to the lowest polymorph of the same formula ... 195.5 meV per atom
Size of the total moment ... 1.930 μB per formula unit

=====

(5)
VASP calculation (GGA-PBE) on crystalline CaGaPd2 at its relaxed geometry.

Unit cell a=3.9932 b=3.9932 c=9.9102 alpha=90.00 beta=90.00 gamma=90.00
Closest atoms and distances in Å follow each position.
Fractional coordinates of all 8 atoms:
1 Ca 0.5000 0.0000 0.2047  5 Pd 2.89-3.05, 4 Ga 3.13
2 Ca 0.0000 0.5000 0.7953  5 Pd 2.89-3.05, 4 Ga 3.13
3 Ga 0.5000 0.0000 0.6592  5 Pd 2.51-2.54
4 Ga 0.0000 0.5000 0.3408  5 Pd 2.51-2.54
5 Pd 0.5000 0.0000 0.9128  1 Ga 2.51
6 Pd 0.0000 0.5000 0.0872  1 Ga 2.51
7 Pd 0.0000 0.0000 0.5000  4 Ga 2.54, 4 Pd 2.82
8 Pd 0.5000 0.5000 0.5000  4 Ga 2.54, 4 Pd 2.82

Properties
DFT total energy ... -18.0 eV per formula unit
Size of the total moment ... 0.000 μB per formula unit

=====

(6)
VASP calculation (GGA-PBE) on crystalline Y7Hg2Te2 at its relaxed geometry.

Unit cell a=4.2721 b=9.3607 c=9.3607 alpha=62.85 beta=76.81 gamma=76.81
Closest atoms and distances in Å follow each position.
Fractional coordinates of all 11 atoms:
1 Y 0.8165 0.0789 0.2880  3 Hg 2.99-3.20, 1 Te 3.14
2 Y 0.8628 0.4033 0.8711  2 Hg 3.10, 2 Te 3.13
3 Y 0.5000 0.0128 0.9872  3 Te 3.30-3.35
4 Y 0.6235 0.4854 0.2675  2 Hg 3.06, 3 Te 3.12-3.20
5 Y 0.3765 0.7325 0.5146  2 Hg 3.06, 3 Te 3.12-3.20
6 Y 0.1835 0.7120 0.9211  3 Hg 2.99-3.20, 1 Te 3.14
7 Y 0.1372 0.1289 0.5967  2 Hg 3.10, 2 Te 3.13
8 Hg 0.7344 0.8600 0.6713  7 Y 2.99-3.20
9 Hg 0.2656 0.3287 0.1400  7 Y 2.99-3.20
10 Te 0.0000 0.7554 0.2446  8 Y 3.14-3.30
11 Te 0.5000 0.3559 0.6441  7 Y 3.12-3.35

Properties
ΔE_f (raw) ... -0.700 eV per atom
DFT total energy ... -59.8 eV per formula unit
Size of the total moment ... 0.000 μB per formula unit

=====

(7)
VASP calculation (GGA-PBE) on crystalline Y2As6Pd21 at its relaxed geometry.

Unit cell a=8.8340 b=8.8340 c=8.8340 alpha=60.00 beta=60.00 gamma=60.00
Closest atoms and distances in Å follow each position.
Fractional coordinates of all 29 atoms:
1 Y 0.7500 0.7500 0.7500  4 Pd 2.88
2 Y 0.2500 0.2500 0.2500  4 Pd 2.88
3 As 0.2615 0.7385 0.2615  8 Pd 2.44-2.56
4 As 0.7385 0.2615 0.2615  8 Pd 2.44-2.56
5 As 0.7385 0.7385 0.2615  8 Pd 2.44-2.56
6 As 0.7385 0.2615 0.7385  8 Pd 2.44-2.56
7 As 0.2615 0.7385 0.7385  8 Pd 2.44-2.56
8 As 0.2615 0.2615 0.7385  8 Pd 2.44-2.56
9 Pd 0.0000 0.0000 0.0000  12 Pd 3.08, 6 As 3.27
10 Pd 0.6169 0.6169 0.1493  3 As 2.56
11 Pd 0.6169 0.6169 0.6169  3 As 2.56
12 Pd 0.6169 0.1493 0.6169  3 As 2.56
13 Pd 0.1493 0.6169 0.6169  3 As 2.56
14 Pd 0.3831 0.3831 0.8507  3 As 2.56
15 Pd 0.3831 0.3831 0.3831  3 As 2.56
16 Pd 0.3831 0.8507 0.3831  3 As 2.56
17 Pd 0.8507 0.3831 0.3831  3 As 2.56
18 Pd 0.6514 0.0000 0.3486  2 As 2.44, 1 Pd 2.68
19 Pd 0.0000 0.6514 0.3486  2 As 2.44, 1 Pd 2.68
20 Pd 0.0000 0.0000 0.3486  2 As 2.44, 1 Pd 2.68
21 Pd 0.0000 0.6514 0.0000  2 As 2.44, 1 Pd 2.68
22 Pd 0.6514 0.0000 0.0000  2 As 2.44, 1 Pd 2.68
23 Pd 0.0000 0.0000 0.6514  2 As 2.44, 1 Pd 2.68
24 Pd 0.0000 0.3486 0.0000  2 As 2.44, 1 Pd 2.68
25 Pd 0.0000 0.3486 0.6514  2 As 2.44, 1 Pd 2.68
26 Pd 0.6514 0.3486 0.0000  2 As 2.44, 1 Pd 2.68
27 Pd 0.3486 0.0000 0.6514  2 As 2.44, 1 Pd 2.68
28 Pd 0.3486 0.0000 0.0000  2 As 2.44, 1 Pd 2.68
29 Pd 0.3486 0.6514 0.0000  2 As 2.44, 1 Pd 2.68

Properties
DFT total energy ... -164.7 eV per formula unit
Size of the total moment ... 0.000 μB per formula unit

=====

(8)
VASP calculation (GGA-PBE) on crystalline NaEuS2 at its relaxed geometry.

Unit cell a=4.9207 b=4.9207 c=4.9207 alpha=60.00 beta=60.00 gamma=60.00
Closest atoms and distances in Å follow each position.
Fractional coordinates of all 4 atoms:
1 Eu 0.0000 0.0000 0.0000  8 S 3.01
2 Na 0.5000 0.5000 0.5000  8 S 3.01
3 S 0.2500 0.2500 0.2500  4 Na 3.01, 4 Eu 3.01
4 S 0.7500 0.7500 0.7500  4 Na 3.01, 4 Eu 3.01

Properties
ΔE_f (raw) ... -1.340 eV per atom
DFT total energy ... -25.2 eV per formula unit
Size of the total moment ... 6.119 μB per formula unit